No. 1
VASP calculation (PBE) on an optimized crystal structure of NdYSc2.

It has space group P4/mmm (No. 123), with a = 3.9145 Å, b = 3.9145 Å, c = 7.5515 Å, α = 90.00°, β = 90.00° and γ = 90.00°. The asymmetric unit holds Nd at (0.0000, 0.0000, 0.0000), Y at (0.0000, 0.0000, 0.5000) and Sc at (0.5000, 0.5000, 0.2553).

The value obtained for the mass density is 4.64 g cm⁻³. As for the total DFT energy (no corrections): -5.89 eV/atom. The energy above the most stable polymorph in this dataset is 0.09 eV/f.u.



No. 2
VASP calculation (PBE) on an optimized crystal structure of AgPt3.

It has space group R-3m (No. 166, hexagonal axes), with a = 2.7934 Å, b = 2.7934 Å, c = 28.3922 Å, α = 90.00°, β = 90.00° and γ = 120.00°. The asymmetric unit holds Ag at (0.0000, 0.0000, 0.0000), Pt at (0.0000, 0.0000, 0.2489) and Pt at (0.0000, 0.0000, 0.5000).

The value obtained for the mass density is 18.00 g cm⁻³. As for the total DFT energy (no corrections): -5.29 eV/atom.



| no. | M_tot (μB/cell) | formation enthalpy at 0 K (meV/atom) |
| --- | --- | --- |
| 1 | 0.0 | 80.2 |
| 2 | 0.0 | -42.6 |